(1)
Density functional theory data (PBE) for a relaxed TlTe3WAu crystal.

a = 3.773 Å, b = 8.355 Å, c = 10.757 Å
α = 90.00°, β = 90.00°, γ = 76.95°
Fractional positions:
Au 0.442 0.116 0.750
Au 0.558 0.884 0.250
Te 0.071 0.858 0.750
Te 0.374 0.252 0.522
Te 0.626 0.748 0.478
Te 0.929 0.142 0.250
Te 0.626 0.748 0.022
Te 0.374 0.252 0.978
Tl 0.764 0.471 0.750
Tl 0.236 0.529 0.250
W 0.000 0.000 0.000
W 0.000 0.000 0.500

Properties
space group	Cmcm, No. 63
uncorrected energy	-4.503	eV per atom
magnetization	0.239	μB/atom

(2)
Density functional theory data (PBE) for a relaxed TlTe4WAu3 crystal.

a = 6.696 Å, b = 6.696 Å, c = 6.696 Å
α = 90.00°, β = 90.00°, γ = 90.00°
Fractional positions:
Te 0.727 0.727 0.273
Te 0.273 0.727 0.727
Te 0.727 0.273 0.727
Te 0.273 0.273 0.273
W 0.500 0.500 0.500
Au 0.500 0.000 0.500
Au 0.500 0.500 0.000
Au 0.000 0.500 0.500
Tl 0.000 0.000 0.000

Properties
space group	P-43m, No. 215
uncorrected energy	-4.023	eV per atom
magnetization	0.209	μB/atom

(3)
Density functional theory data (PBE) for a relaxed YTlTe3Au crystal.

a = 8.161 Å, b = 8.161 Å, c = 11.238 Å
α = 90.00°, β = 90.00°, γ = 150.28°
Fractional positions:
Te 0.639 0.361 0.552
Te 0.361 0.639 0.052
Te 0.361 0.639 0.448
Te 0.916 0.084 0.750
Te 0.084 0.916 0.250
Te 0.639 0.361 0.948
Au 0.533 0.467 0.750
Au 0.467 0.533 0.250
Y 0.000 0.000 0.000
Y 0.000 0.000 0.500
Tl 0.237 0.763 0.750
Tl 0.763 0.237 0.250

Properties
space group	Cmcm, No. 63
uncorrected energy	-4.285	eV per atom
magnetization	0.001	μB/atom

What is the uncorrected energy in the first record?
-4.503 eV per atom

What is the magnetization in the second record?
0.209 μB/atom

Which of these has the lowest uncorrected energy?
TlTe3WAu

Which of these has the lowest magnetization?
YTlTe3Au